[1]
The following is a DFT calculation (GGA+U) of an optimized crystal structure of NbCoNO.

Cell lengths 6.078, 7.092, 4.389 Å; angles 90.00, 90.00, 90.00 degrees
Element x y z (fractional)
Nb  0.082  0.114  0.000
Nb  0.418  0.114  0.500
Nb  0.582  0.886  0.000
Nb  0.918  0.886  0.500
Co  0.107  0.627  0.959
Co  0.393  0.627  0.459
Co  0.607  0.373  0.959
Co  0.893  0.373  0.459
N  0.076  0.148  0.507
N  0.424  0.148  0.007
N  0.576  0.852  0.507
N  0.924  0.852  0.007
O  0.061  0.615  0.495
O  0.439  0.615  0.995
O  0.561  0.385  0.495
O  0.939  0.385  0.995

SG = Pca2_1
E_tot = -7.982 eV/atom


[2]
The following is a DFT calculation (GGA+U) of an optimized crystal structure of NbCoNO.

Cell lengths 3.140, 5.525, 5.349 Å; angles 90.00, 90.00, 90.00 degrees
Element x y z (fractional)
Nb  0.000  0.150  0.000
Nb  0.000  0.850  0.500
Co  0.500  0.302  0.619
Co  0.500  0.698  0.119
N  0.500  0.374  0.967
N  0.500  0.626  0.467
O  0.000  0.198  0.383
O  0.000  0.802  0.883

SG = Pmc2_1
E_tot = -7.882 eV/atom


[3]
The following is a DFT calculation (GGA+U) of an optimized crystal structure of NbCoNO.

Cell lengths 4.289, 4.289, 4.373 Å; angles 90.00, 90.00, 90.00 degrees
Element x y z (fractional)
Nb  0.250  0.750  0.000
Nb  0.750  0.250  0.000
Co  0.250  0.250  0.425
Co  0.750  0.750  0.575
N  0.250  0.250  0.943
N  0.750  0.750  0.057
O  0.250  0.750  0.500
O  0.750  0.250  0.500

SG = P4/nmm
E_tot = -7.994 eV/atom


[4]
The following is a DFT calculation (GGA+U) of an optimized crystal structure of NbCoNO.

Cell lengths 3.198, 5.774, 5.237 Å; angles 90.00, 90.00, 90.00 degrees
Element x y z (fractional)
Nb  0.000  0.193  0.000
Nb  0.000  0.807  0.500
Co  0.500  0.283  0.436
Co  0.500  0.717  0.936
N  0.000  0.122  0.370
N  0.000  0.878  0.870
O  0.500  0.375  0.826
O  0.500  0.625  0.326

SG = Pmc2_1
E_tot = -7.878 eV/atom


[5]
The following is a DFT calculation (GGA+U) of an optimized crystal structure of NbCoNO.

Cell lengths 3.263, 3.263, 7.378 Å; angles 90.00, 90.00, 90.00 degrees
Element x y z (fractional)
Nb  0.250  0.250  0.184
Nb  0.750  0.750  0.816
Co  0.250  0.750  0.500
Co  0.750  0.250  0.500
N  0.250  0.250  0.697
N  0.750  0.750  0.303
O  0.250  0.750  0.000
O  0.750  0.250  0.000

SG = P4/nmm
E_tot = -7.608 eV/atom